1.
10
Lattice="7.749 0.000 0.000 0.000 7.749 0.000 0.000 0.000 2.846" Properties=species:S:1:pos:R:3 comment="GGA-PBE Al2Re2Cl, relaxed" raw_formation_energy_kj_per_mol_atoms=29.76 sg="No. 127" mass_density_g_cm3=8.976 crystal_system=tetragonal polymorph_energy_kj_per_mol_fu=0.0 energy_ev_per_atom=-6.54 pbc="T T T"
Re 3.030 6.904 0.000
Al 5.276 6.347 1.423
Cl 0.000 0.000 0.000
Al 1.402 5.276 1.423
Al 2.473 1.402 1.423
Cl 3.874 3.874 0.000
Re 0.845 3.030 0.000
Al 6.347 2.473 1.423
Re 6.904 4.719 0.000
Re 4.719 0.845 0.000



2.
4
Lattice="-0.531 -0.987 -3.375 4.796 -3.840 0.369 -5.500 -1.628 3.215" Properties=species:S:1:pos:R:3 comment="GGA-PBE YLu3, relaxed" ef_ev_per_fu=0.00 sg="No. 44" mass_density_g_cm3=8.419 crystal_system=orthorhombic polymorph_energy_kj_per_mol_fu=0.0 energy_ev_per_atom=-5.01 pbc="T T T"
Lu 2.137 -2.417 -1.503
Y 4.789 -3.835 0.368
Lu -2.758 -1.888 -0.887
Lu -0.073 -3.288 0.973